# 1
This record from the Alexandria database describes crystalline U6Fe at its relaxed geometry. The functional is GGA-PBE.

Properties
ΔE_f in meV per atom: -4

abc: 10.147 10.147 5.242
angles: 90.00 90.00 90.00
Space group I4/mcm (No. 140)
Unique sites:
U  0.094  0.406  0.000 (multiplicity 8)
U  0.101  0.218  0.500 (multiplicity 16)
Fe  0.000  0.000  0.250 (multiplicity 4)


# 2
This record from the Alexandria database describes crystalline La5Dy2Cd at its relaxed geometry. The functional is GGA-PBE.

Properties
ΔE_f in meV per atom: -56

abc: 7.336 11.494 12.665
angles: 90.00 90.00 90.00
Space group Fmm2 (No. 42)
Unique sites:
La  0.000  0.000  0.000 (multiplicity 4)
La  0.229  0.000  0.237 (multiplicity 8)
La  0.250  0.250  0.403 (multiplicity 8)
Dy  0.000  0.236  0.648 (multiplicity 8)
Cd  0.000  0.000  0.492 (multiplicity 4)


# 3
This record from the Alexandria database describes crystalline Hf2BiSbBr at its relaxed geometry. The functional is GGA-PBE.

Properties
Formation energy without anion corrections in kJ/mol of atoms: 122

abc: 5.532 5.532 5.734
angles: 90.00 90.00 90.00
Space group P4/mmm (No. 123)
Unique sites:
Hf  0.000  0.500  0.000 (multiplicity 2)
Bi  0.000  0.000  0.000 (multiplicity 1)
Sb  0.000  0.000  0.500 (multiplicity 1)
Br  0.500  0.500  0.500 (multiplicity 1)


# 4
This record from the Alexandria database describes crystalline Pb3I5Br at its relaxed geometry. The functional is GGA-PBE.

Properties
Formation energy without anion corrections in kJ/mol of atoms: -63

abc: 10.876 31.762 4.804
angles: 90.00 90.00 90.00
Space group Cmmm (No. 65)
Unique sites:
Pb  0.000  0.000  0.000 (multiplicity 2)
Pb  0.000  0.159  0.500 (multiplicity 4)
Pb  0.000  0.330  0.000 (multiplicity 4)
Pb  0.000  0.500  0.500 (multiplicity 2)
I  0.000  0.227  0.000 (multiplicity 4)
I  0.000  0.432  0.000 (multiplicity 4)
I  0.201  0.000  0.500 (multiplicity 4)
I  0.201  0.332  0.500 (multiplicity 8)
Br  0.000  0.097  0.000 (multiplicity 4)


# 5
This record from the Alexandria database describes crystalline KTlS2 at its relaxed geometry. The functional is GGA-PBE.

Properties
Energy above the most stable polymorph in this dataset in meV per atom: 171
Formation energy without anion corrections in kJ/mol of atoms: -44

abc: 4.516 20.960 5.730
angles: 90.00 90.00 90.00
Space group Cmcm (No. 63)
Unique sites:
K  0.000  0.172  0.250 (multiplicity 4)
Tl  0.000  0.437  0.250 (multiplicity 4)
S  0.000  0.324  0.250 (multiplicity 4)
S  0.000  0.447  0.750 (multiplicity 4)


# 6
This record from the Alexandria database describes crystalline PrCuH2O4 at its relaxed geometry. The functional is GGA-PBE.

abc: 4.746 5.501 6.328
angles: 90.00 90.00 90.00
Space group I222 (No. 23)
Unique sites:
Pr  0.000  0.000  0.000 (multiplicity 2)
Cu  0.000  0.000  0.500 (multiplicity 2)
H  0.000  0.500  0.183 (multiplicity 4)
O  0.222  0.391  0.811 (multiplicity 8)


# 7
This record from the Alexandria database describes crystalline Ta2IrW at its relaxed geometry. The functional is GGA-PBE.

Properties
ΔE_f in meV per atom: -132
Energy above the most stable polymorph in this dataset in meV per atom: 197

abc: 3.264 3.264 6.304
angles: 90.00 90.00 90.00
Space group P4mm (No. 99)
Unique sites:
Ta  0.000  0.000  0.000 (multiplicity 1)
Ta  0.500  0.500  0.266 (multiplicity 1)
Ir  0.500  0.500  0.761 (multiplicity 1)
W  0.000  0.000  0.506 (multiplicity 1)


# 8
This record from the Alexandria database describes crystalline La2Si2Pt at its relaxed geometry. The functional is GGA-PBE.

Properties
Formation energy without anion corrections in kJ/mol of atoms: -87

abc: 6.579 6.579 4.962
angles: 90.00 90.00 90.00
Space group P4/mbm (No. 127)
Unique sites:
La  0.174  0.326  0.000 (multiplicity 4)
Si  0.133  0.633  0.500 (multiplicity 4)
Pt  0.000  0.000  0.500 (multiplicity 2)


# 9
This record from the Alexandria database describes crystalline CaAg2Te at its relaxed geometry. The functional is GGA-PBE.

Properties
Formation energy without anion corrections in kJ/mol of atoms: -43

abc: 4.014 4.098 6.511
angles: 90.00 106.95 90.00
Space group Pm (No. 6)
Unique sites:
Ca  0.000  0.000  0.000 (multiplicity 1)
Ag  0.329  0.500  0.657 (multiplicity 1)
Ag  0.763  0.000  0.517 (multiplicity 1)
Te  0.582  0.500  0.174 (multiplicity 1)


# 10
This record from the Alexandria database describes crystalline Zn2Ir5Rh12 at its relaxed geometry. The functional is GGA-PBE.

Properties
ΔE_f in meV per atom: 277

abc: 16.819 7.308 4.742
angles: 90.00 93.44 90.00
Space group C2/m (No. 12)
Unique sites:
Zn  0.000  0.185  0.000 (multiplicity 4)
Ir  0.000  0.500  0.500 (multiplicity 2)
Ir  0.152  0.000  0.930 (multiplicity 4)
Ir  0.223  0.000  0.433 (multiplicity 4)
Rh  0.068  0.000  0.422 (multiplicity 4)
Rh  0.074  0.500  0.023 (multiplicity 4)
Rh  0.134  0.307  0.624 (multiplicity 8)
Rh  0.202  0.320  0.156 (multiplicity 8)


# 11
This record from the Alexandria database describes crystalline AlRh at its relaxed geometry. The functional is GGA-PBE.

Properties
ΔE_f in meV per atom: -570

abc: 5.404 11.213 3.870
angles: 90.00 90.00 90.00
Space group Cmmm (No. 65)
Unique sites:
Al  0.000  0.155  0.000 (multiplicity 4)
Al  0.242  0.500  0.500 (multiplicity 4)
Rh  0.000  0.382  0.000 (multiplicity 4)
Rh  0.250  0.250  0.500 (multiplicity 4)


# 12
This record from the Alexandria database describes crystalline K2ZnF at its relaxed geometry. The functional is GGA-PBE.

Properties
Energy above the most stable polymorph in this dataset in meV per atom: 137
Formation energy without anion corrections in kJ/mol of atoms: -109

abc: 7.854 7.854 9.342
angles: 90.00 90.00 90.00
Space group I-42d (No. 122)
Unique sites:
K  0.138  0.250  0.125 (multiplicity 8)
Zn  0.000  0.000  0.500 (multiplicity 4)
F  0.000  0.000  0.000 (multiplicity 4)


# 13
This record from the Alexandria database describes crystalline YTh2Re at its relaxed geometry. The functional is GGA-PBE.

Properties
ΔE_f in meV per atom: 139
Energy above the most stable polymorph in this dataset in meV per atom: 0

abc: 3.538 3.538 8.952
angles: 90.00 90.00 90.00
Space group P4/mmm (No. 123)
Unique sites:
Y  0.000  0.000  0.000 (multiplicity 1)
Th  0.500  0.500  0.301 (multiplicity 2)
Re  0.000  0.000  0.500 (multiplicity 1)


# 14
This record from the Alexandria database describes crystalline BaTaPb2 at its relaxed geometry. The functional is GGA-PBE.

Properties
ΔE_f in meV per atom: 330

abc: 3.309 4.824 15.867
angles: 90.00 90.00 90.00
Space group Imm2 (No. 44)
Unique sites:
Ba  0.000  0.000  0.000 (multiplicity 2)
Ta  0.000  0.500  0.288 (multiplicity 2)
Pb  0.000  0.000  0.633 (multiplicity 2)
Pb  0.000  0.500  0.816 (multiplicity 2)


# 15
This record from the Alexandria database describes crystalline Ce2Ge4IrAu3 at its relaxed geometry. The functional is GGA-PBE.

Properties
ΔE_f in meV per atom: -498

abc: 4.389 4.389 10.623
angles: 90.00 90.00 90.00
Space group P-4m2 (No. 115)
Unique sites:
Ce  0.000  0.500  0.236 (multiplicity 2)
Ge  0.000  0.000  0.500 (multiplicity 1)
Ge  0.000  0.500  0.874 (multiplicity 2)
Ge  0.500  0.500  0.500 (multiplicity 1)
Ir  0.500  0.500  0.000 (multiplicity 1)
Au  0.000  0.000  0.000 (multiplicity 1)
Au  0.000  0.500  0.638 (multiplicity 2)


# 16
This record from the Alexandria database describes crystalline Y2W at its relaxed geometry. The functional is GGA-PBE.

Properties
ΔE_f in meV per atom: 778
Energy above the most stable polymorph in this dataset in meV per atom: 532

abc: 7.209 7.338 3.168
angles: 90.00 90.00 90.00
Space group Pnnm (No. 58)
Unique sites:
Y  0.203  0.170  0.000 (multiplicity 4)
W  0.000  0.500  0.000 (multiplicity 2)


# 17
This record from the Alexandria database describes crystalline Tm2LuAu at its relaxed geometry. The functional is GGA-PBE.

Properties
ΔE_f in meV per atom: -267
Energy above the most stable polymorph in this dataset in meV per atom: 135

abc: 4.641 4.641 4.638
angles: 90.00 90.00 90.00
Space group P4/mmm (No. 123)
Unique sites:
Tm  0.000  0.500  0.000 (multiplicity 2)
Lu  0.000  0.000  0.500 (multiplicity 1)
Au  0.500  0.500  0.500 (multiplicity 1)


# 18
This record from the Alexandria database describes crystalline Pm2Y3Sc2 at its relaxed geometry. The functional is GGA-PBE.

Properties
ΔE_f in meV per atom: 32
Energy above the most stable polymorph in this dataset in meV per atom: 0

abc: 5.233 23.501 3.494
angles: 90.00 90.00 90.00
Space group Cmmm (No. 65)
Unique sites:
Pm  0.000  0.076  0.000 (multiplicity 4)
Y  0.000  0.342  0.500 (multiplicity 4)
Y  0.000  0.500  0.500 (multiplicity 2)
Sc  0.000  0.217  0.000 (multiplicity 4)


# 19
This record from the Alexandria database describes crystalline Cs2InHg2I4 at its relaxed geometry. The functional is GGA-PBE.

Properties
Formation energy without anion corrections in kJ/mol of atoms: -81

abc: 8.976 8.976 9.582
angles: 90.00 90.00 90.00
Space group I4/mmm (No. 139)
Unique sites:
Cs  0.000  0.500  0.250 (multiplicity 4)
In  0.000  0.000  0.000 (multiplicity 2)
Hg  0.000  0.000  0.313 (multiplicity 4)
I  0.247  0.247  0.000 (multiplicity 8)


# 20
This record from the Alexandria database describes crystalline Cu3ReRu at its relaxed geometry. The functional is GGA-PBE.

Properties
ΔE_f in meV per atom: 1944

abc: 4.571 4.571 4.571
angles: 90.00 90.00 90.00
Space group Pm-3m (No. 221)
Unique sites:
Cu  0.000  0.000  0.500 (multiplicity 3)
Re  0.000  0.000  0.000 (multiplicity 1)
Ru  0.500  0.500  0.500 (multiplicity 1)


# 21
This record from the Alexandria database describes crystalline CoCuOs2 at its relaxed geometry. The functional is GGA-PBE.

Properties
ΔE_f in meV per atom: 233
Energy above the most stable polymorph in this dataset in meV per atom: 2

abc: 2.696 3.716 5.169
angles: 90.00 90.00 90.00
Space group Pmm2 (No. 25)
Unique sites:
Co  0.000  0.000  0.000 (multiplicity 1)
Cu  0.500  0.500  0.225 (multiplicity 1)
Os  0.000  0.000  0.491 (multiplicity 1)
Os  0.500  0.500  0.734 (multiplicity 1)


# 22
This record from the Alexandria database describes crystalline MgTe2Br at its relaxed geometry. The functional is GGA-PBE.

Properties
Energy above the most stable polymorph in this dataset in meV per atom: 386
Formation energy without anion corrections in kJ/mol of atoms: -23

abc: 5.981 8.994 5.384
angles: 90.00 123.40 90.00
Space group C2/m (No. 12)
Unique sites:
Mg  0.000  0.000  0.000 (multiplicity 2)
Te  0.250  0.250  0.500 (multiplicity 4)
Br  0.000  0.500  0.000 (multiplicity 2)


# 23
This record from the Alexandria database describes crystalline PuMg3Nb2N6 at its relaxed geometry. The functional is GGA-PBE.

Properties
Formation energy without anion corrections in kJ/mol of atoms: -95

abc: 13.932 3.166 6.361
angles: 90.00 104.02 90.00
Space group C2/m (No. 12)
Unique sites:
Pu  0.000  0.000  0.000 (multiplicity 2)
Mg  0.000  0.000  0.500 (multiplicity 2)
Mg  0.170  0.500  0.837 (multiplicity 4)
Nb  0.173  0.500  0.351 (multiplicity 4)
N  0.005  0.500  0.254 (multiplicity 4)
N  0.166  0.000  0.585 (multiplicity 4)
N  0.168  0.000  0.098 (multiplicity 4)


# 24
This record from the Alexandria database describes crystalline BMoS2 at its relaxed geometry. The functional is GGA-PBE.

Properties
Formation energy without anion corrections in kJ/mol of atoms: 17

abc: 3.1942 3.1942 20.1297
angles: 90.00 90.00 120.00
Space group R-3m (No. 166, hexagonal axes)
Unique sites:
B  0.0000  0.0000  0.0000 (multiplicity 3)
Mo  0.0000  0.0000  0.5000 (multiplicity 3)
S  0.0000  0.0000  0.0860 (multiplicity 6)


# 25
This record from the Alexandria database describes crystalline CuSbTe2Pd at its relaxed geometry. The functional is GGA-PBE.

Properties
Energy above the most stable polymorph in this dataset in meV per atom: 0
Formation energy without anion corrections in kJ/mol of atoms: 57

abc: 5.164 5.164 4.931
angles: 90.00 90.00 90.00
Space group P4/mmm (No. 123)
Unique sites:
Cu  0.000  0.000  0.000 (multiplicity 1)
Sb  0.000  0.000  0.500 (multiplicity 1)
Te  0.000  0.500  0.000 (multiplicity 2)
Pd  0.500  0.500  0.500 (multiplicity 1)


Short version: electronic total energy = -10.89, -4.40, -4.66, -2.94, -3.39, -5.89, -11.51, -6.25, -3.15, -6.83, -6.12, -2.47, -8.30, -4.97, -5.40, -7.85, -4.45, -5.90, -2.09, -4.86, -8.18, -2.63, -8.42, -6.27, -3.35 eV per atom, in the order given.